Record 1
The following is a DFT calculation (PBE) of a relaxed structure of TbTmScGa.

abc: 5.1826 5.1826 5.1826
angles: 60.00 60.00 60.00
Each line ends with the local moment (μB).
Fractional coordinates of all 4 atoms:
Sc1 0.2500 0.2500 0.2500  0.26
Ga1 0.7500 0.7500 0.7500  0.00
Tb1 0.5000 0.5000 0.5000  0.13
Tm1 0.0000 0.0000 0.0000  0.16

- total magnetic moment (μB/atom) = 0.1729
- VASP energy (eV for the cell shown) = -19.01
- energy of formation (eV per atom) = -0.14
- Fermi-level density of states (states/eV per atom) = 1.439

Record 2
The following is a DFT calculation (PBE) of a relaxed structure of ZnTc2Os.

abc: 2.7539 2.7539 7.6032
angles: 90.00 90.00 90.00
Fractional coordinates of all 4 atoms:
Zn1 0.5000 0.5000 0.2500
Tc1 0.0000 0.0000 0.9966
Tc2 0.0000 0.0000 0.5034
Os1 0.5000 0.5000 0.7500

- total magnetic moment (μB/atom) = 0.0007
- VASP energy (eV for the cell shown) = -32.84
- energy of formation (eV per atom) = 0.10
- Fermi-level density of states (states/eV per atom) = 1.341

Record 3
The following is a DFT calculation (PBE) of a relaxed structure of Tl2ZnNi.

abc: 3.4678 3.4678 8.4238
angles: 78.36 78.36 59.33
Fractional coordinates of all 4 atoms:
Tl1 0.5088 0.5088 0.4729
Tl2 0.9912 0.9912 0.0271
Ni1 0.2500 0.2500 0.2500
Zn1 0.7500 0.7500 0.7500

- total magnetic moment (μB/atom) = 0.0000
- VASP energy (eV for the cell shown) = -10.52
- energy of formation (eV per atom) = 0.32
- Fermi-level density of states (states/eV per atom) = 0.747

Record 4
The following is a DFT calculation (PBE) of a relaxed structure of AcLa2Sc.

abc: 5.2654 5.1640 5.1640
angles: 90.00 90.00 90.00
Fractional coordinates of all 4 atoms:
Sc1 0.5000 0.5000 0.5000
La1 0.0000 0.0000 0.5000
La2 0.0000 0.5000 0.0000
Ac1 0.5000 0.0000 0.0000

- total magnetic moment (μB/atom) = 0.0017
- VASP energy (eV for the cell shown) = -20.07
- energy of formation (eV per atom) = 0.06
- Fermi-level density of states (states/eV per atom) = 1.154

Record 5
The following is a DFT calculation (PBE) of a relaxed structure of La12Sm5Y2.

abc: 11.7902 8.9003 9.6157
angles: 70.54 90.00 131.48
Fractional coordinates of all 19 atoms:
La1 0.0490 0.6111 0.8069
La2 0.9510 0.3889 0.1931
La3 0.3883 0.2134 0.5798
La4 0.1176 0.2353 0.0526
La5 0.8250 0.2134 0.5798
La6 0.6117 0.7866 0.4202
La7 0.4380 0.3889 0.1931
La8 0.5620 0.6111 0.8069
La9 0.5730 0.1460 0.2155
La10 0.1750 0.7866 0.4202
La11 0.4270 0.8540 0.7845
La12 0.8824 0.7647 0.9474
Sm1 0.0000 0.0000 0.5000
Sm2 0.6882 0.3764 0.7710
Sm3 0.8089 0.6178 0.3332
Sm4 0.3118 0.6236 0.2290
Sm5 0.1911 0.3822 0.6668
Y1 0.2718 0.0000 0.0000
Y2 0.7282 0.0000 0.0000

- total magnetic moment (μB/atom) = 0.0000
- VASP energy (eV for the cell shown) = -93.94
- energy of formation (eV per atom) = 0.09
- Fermi-level density of states (states/eV per atom) = 1.507

Record 6
The following is a DFT calculation (PBE) of a relaxed structure of La2Pr5SmTh.

abc: 5.8250 10.7968 10.7799
angles: 90.00 90.00 105.65
Fractional coordinates of all 18 atoms:
Sm1 0.5938 0.1877 0.9579
Sm2 0.4062 0.8123 0.4579
Pr1 0.3849 0.7698 0.0235
Pr2 0.4827 0.9654 0.7427
Pr3 0.5173 0.0346 0.2427
Pr4 0.6151 0.2302 0.5235
Pr5 0.7069 0.4137 0.2039
Pr6 0.2749 0.5499 0.3154
Pr7 0.9840 0.9680 0.5204
Pr8 0.0160 0.0320 0.0204
Pr9 0.2931 0.5863 0.7039
Pr10 0.7251 0.4501 0.8154
Th1 0.1995 0.3990 0.0112
Th2 0.8005 0.6010 0.5112
La1 0.8837 0.7673 0.8161
La2 0.1158 0.2316 0.7329
La3 0.1163 0.2327 0.3161
La4 0.8842 0.7684 0.2329

- total magnetic moment (μB/atom) = 0.0000
- VASP energy (eV for the cell shown) = -89.26
- energy of formation (eV per atom) = 0.14
- Fermi-level density of states (states/eV per atom) = 1.384

Record 7
The following is a DFT calculation (PBE) of a relaxed structure of Pm2Sm2InGa4.

abc: 6.8879 6.8879 6.8879
angles: 95.06 117.12 117.12
Fractional coordinates of all 9 atoms:
Pm1 0.5000 0.7500 0.2500
Pm2 0.5000 0.2500 0.7500
Ga1 0.4825 0.7413 0.7413
Ga2 0.0000 0.7413 0.2587
Ga3 0.5175 0.2587 0.2587
Ga4 0.0000 0.2587 0.7413
Sm1 0.0000 0.3148 0.3148
Sm2 0.0000 0.6852 0.6852
In1 0.0000 0.0000 0.0000

- total magnetic moment (μB/atom) = 0.0002
- VASP energy (eV for the cell shown) = -35.59
- energy of formation (eV per atom) = -0.20
- Fermi-level density of states (states/eV per atom) = 0.899

Record 8
The following is a DFT calculation (PBE) of a relaxed structure of TlNiBr2.

abc: 3.9497 5.0707 6.8130
angles: 68.22 90.00 90.00
Each line ends with the local moment (μB).
Fractional coordinates of all 4 atoms:
Br1 0.5000 0.3953 0.3335  0.09
Br2 0.0000 0.1129 0.9009  0.05
Tl1 0.5000 0.6977 0.7319  -0.01
Ni1 0.0000 0.2942 0.5336  0.85

- raw formation energy (eV per atom) = -0.332
- total magnetic moment (μB/atom) = 0.2525
- VASP energy (eV for the cell shown) = -12.82
- Fermi-level density of states (states/eV per atom) = 1.010

Record 9
The following is a DFT calculation (PBE) of a relaxed structure of BaBi2SbRh2.

abc: 5.0110 5.0110 6.8327
angles: 90.00 90.00 90.00
Fractional coordinates of all 6 atoms:
Bi1 0.5000 0.5000 0.7602
Bi2 0.5000 0.5000 0.2398
Sb1 0.0000 0.0000 0.0000
Ba1 0.0000 0.0000 0.5000
Rh1 0.0000 0.5000 0.0000
Rh2 0.5000 0.0000 0.0000

- raw formation energy (eV per atom) = -0.305
- total magnetic moment (μB/atom) = 0.0000
- VASP energy (eV for the cell shown) = -30.34
- Fermi-level density of states (states/eV per atom) = 0.595

Record 10
The following is a DFT calculation (PBE) of a relaxed structure of PmSeO.

abc: 4.7130 3.9230 3.9230
angles: 120.00 90.00 90.00
Each line ends with the local moment (μB).
Fractional coordinates of all 3 atoms:
Pm1 0.1667 0.0000 0.0000  -0.01
Se1 0.6667 0.6667 0.3333  0.34
O1 0.1667 0.3333 0.6667  0.17

- raw formation energy (eV per atom) = -2.069
- total magnetic moment (μB/atom) = 0.2451
- VASP energy (eV for the cell shown) = -19.40
- Fermi-level density of states (states/eV per atom) = 0.749

Record 11
The following is a DFT calculation (PBE) of a relaxed structure of Nd3Se2O2.

abc: 6.9285 7.4870 6.7717
angles: 90.00 69.10 90.00
Fractional coordinates of all 14 atoms:
Nd1 0.0000 0.0000 0.0000
Nd2 0.2592 0.3723 0.5589
Nd3 0.7592 0.1277 0.5589
Nd4 0.7408 0.6277 0.4411
Nd5 0.2408 0.8723 0.4411
Nd6 0.5000 0.5000 0.0000
O1 0.5492 0.3857 0.6616
O2 0.4508 0.6143 0.3384
O3 0.0492 0.1143 0.6616
O4 0.9508 0.8857 0.3384
Se1 0.4357 0.8600 0.7946
Se2 0.5643 0.1400 0.2054
Se3 0.9357 0.6400 0.7946
Se4 0.0643 0.3600 0.2054

- raw formation energy (eV per atom) = -2.478
- total magnetic moment (μB/atom) = 0.0000
- VASP energy (eV for the cell shown) = -97.06
- Fermi-level density of states (states/eV per atom) = 0.444

Record 12
The following is a DFT calculation (PBE) of a relaxed structure of In2CuAgB.

abc: 5.1849 4.8318 5.1849
angles: 90.00 90.00 90.00
Fractional coordinates of all 5 atoms:
Ag1 0.0000 0.0000 0.0000
In1 0.5000 0.0000 0.0000
In2 0.0000 0.0000 0.5000
Cu1 0.0000 0.5000 0.0000
B1 0.5000 0.5000 0.5000

- total magnetic moment (μB/atom) = 0.0000
- VASP energy (eV for the cell shown) = -12.41
- energy of formation (eV per atom) = 1.34
- Fermi-level density of states (states/eV per atom) = 0.621